(1)
## Ti2BPd8 (PBE)

Data for Ti2BPd8 after structural relaxation.

Summary:
- Energy: -5.966 eV/atom
- Density of states at the Fermi level: 13.81 states/eV per cell
- Energy relative to the elements: -14.14 kJ/mol of atoms

Cell and atoms, written as CIF:
```
data_Ti2BPd8
_chemical_formula_sum 'Ti4 B2 Pd16'
_cell_length_a 9.661
_cell_length_b 7.943
_cell_length_c 4.953
_cell_angle_alpha 90.00
_cell_angle_beta 108.21
_cell_angle_gamma 90.00
_space_group_name_H-M_alt 'C 1 2/m 1'
_space_group_IT_number 12
loop_
_space_group_symop_operation_xyz
'x,y,z'
'-x,-y,-z'
'-x,y,-z'
'x,-y,z'
'x+1/2,y+1/2,z'
'-x+1/2,-y+1/2,-z'
'-x+1/2,y+1/2,-z'
'x+1/2,-y+1/2,z'
loop_
_atom_site_label
_atom_site_fract_x
_atom_site_fract_y
_atom_site_fract_z
Ti1 0.156 0.000 0.005
B1 0.000 0.000 0.500
Pd1 0.065 0.214 0.289
Pd2 0.084 0.500 0.807
Pd3 0.236 0.500 0.391
```

(2)
## KCdSn2Rh (PBE)

Data for KCdSn2Rh after structural relaxation.

Summary:
- Energy: -3.623 eV/atom
- Density of states at the Fermi level: 4.67 states/eV per cell
- Energy relative to the elements: -14.38 kJ/mol of atoms

Cell and atoms, written as CIF:
```
data_KCdSn2Rh
_chemical_formula_sum 'K1 Cd1 Sn2 Rh1'
_cell_length_a 5.178
_cell_length_b 5.178
_cell_length_c 5.337
_cell_angle_alpha 90.00
_cell_angle_beta 90.00
_cell_angle_gamma 90.00
_space_group_name_H-M_alt 'P 4/m m m'
_space_group_IT_number 123
_space_group_name_Hall '-P 4 2'
loop_
_atom_site_label
_atom_site_fract_x
_atom_site_fract_y
_atom_site_fract_z
K1 0.000 0.000 0.000
Cd1 0.500 0.500 0.000
Sn1 0.000 0.500 0.500
Rh1 0.500 0.500 0.500
```

(3)
## Li2Mg (PBE)

Data for Li2Mg after structural relaxation.

Summary:
- Energy: -1.845 eV/atom
- Density of states at the Fermi level: 3.74 states/eV per cell
- Energy relative to the elements: -3.63 kJ/mol of atoms

Cell and atoms, written as CIF:
```
data_Li2Mg
_chemical_formula_sum 'Li4 Mg2'
_cell_length_a 8.338
_cell_length_b 4.826
_cell_length_c 3.034
_cell_angle_alpha 90.00
_cell_angle_beta 90.17
_cell_angle_gamma 90.00
_space_group_name_H-M_alt 'C 1 2/m 1'
_space_group_IT_number 12
loop_
_space_group_symop_operation_xyz
'x,y,z'
'-x,-y,-z'
'-x,y,-z'
'x,-y,z'
'x+1/2,y+1/2,z'
'-x+1/2,-y+1/2,-z'
'-x+1/2,y+1/2,-z'
'x+1/2,-y+1/2,z'
loop_
_atom_site_label
_atom_site_fract_x
_atom_site_fract_y
_atom_site_fract_z
Li1 0.167 0.000 0.412
Mg1 0.000 0.500 0.000
```

(4)
## Ba3LaRh2O9 (PBE)

Data for Ba3LaRh2O9 after structural relaxation.

Summary:
- Energy: -6.669 eV/atom
- Density of states at the Fermi level: 5.30 states/eV per cell
- Formation energy without anion corrections: -2000.4 meV per atom

Cell and atoms, written as CIF:
```
data_Ba3LaRh2O9
_chemical_formula_sum 'Ba3 La1 Rh2 O9'
_cell_length_a 5.9466
_cell_length_b 5.9466
_cell_length_c 7.4352
_cell_angle_alpha 90.00
_cell_angle_beta 90.00
_cell_angle_gamma 120.00
_space_group_name_H-M_alt 'P -3 m 1'
_space_group_IT_number 164
_space_group_name_Hall '-P 3 2"'
loop_
_atom_site_label
_atom_site_fract_x
_atom_site_fract_y
_atom_site_fract_z
Ba1 0.0000 0.0000 0.0000
Ba2 0.3333 0.6667 0.6901
La1 0.0000 0.0000 0.5000
Rh1 0.3333 0.6667 0.1549
O1 0.0000 0.5000 0.0000
O2 0.1791 0.3582 0.3106
```

> Look up the density of states at the Fermi level of the fourth one.

5.30 states/eV per cell